(1)
The following is a DFT calculation (PBE) of a relaxed structure of ZnPb2Cl.

extended XYZ file:
```
4
Lattice="3.497 0.000 0.000 0.000 3.497 0.000 0.000 0.000 8.372" Properties=species:S:1:pos:R:3 pbc="T T T"
Zn 0.000 0.000 0.000
Pb 1.749 1.749 1.937
Pb 1.749 1.749 6.435
Cl 0.000 0.000 4.186
```

The energy above the most stable polymorph in this dataset comes out at 0.08 eV/f.u. As for the space group: P4/mmm (123). Its formation energy from raw total energies is -189 meV per atom.

(2)
The following is a DFT calculation (PBE) of a relaxed structure of ZnPb2Cl.

extended XYZ file:
```
4
Lattice="5.198 -1.794 0.000 5.198 1.794 0.000 -1.262 0.000 5.750" Properties=species:S:1:pos:R:3 pbc="T T T"
Zn 0.000 0.000 0.000
Pb 1.823 0.000 4.335
Pb 7.312 0.000 1.414
Cl 4.567 0.000 2.875
```

The energy above the most stable polymorph in this dataset comes out at 0.26 eV/f.u. As for the space group: C2/m (12). Its formation energy from raw total energies is -145 meV per atom.

(3)
The following is a DFT calculation (PBE) of a relaxed structure of Zn2PbCl.

extended XYZ file:
```
4
Lattice="6.067 -1.688 0.000 6.067 1.688 0.000 -0.733 0.000 4.735" Properties=species:S:1:pos:R:3 pbc="T T T"
Zn 2.803 0.000 1.194
Zn 8.598 0.000 3.541
Pb 0.000 0.000 0.000
Cl 5.700 0.000 2.367
```

The energy above the most stable polymorph in this dataset comes out at 0.56 eV/f.u. As for the space group: C2/m (12). Its formation energy from raw total energies is -69 meV per atom.